# 1
Below is a relaxed Tm2SiPd crystal, with properties calculated at the PBE-GGA level.

## Properties
For the uncorrected formation energy, the calculation gives -82.76 kJ/mol of atoms.

Lattice parameters (Å, degrees): 5.723 4.233 7.667 90.00 110.41 90.00
Space group P2_1/m (No. 11)
Unique sites:
Tm  0.218  0.250  0.418
Tm  0.218  0.250  0.937
Si  0.333  0.750  0.708
Pd  0.360  0.750  0.214


# 2
Below is a relaxed TmSi3Pd3 crystal, with properties calculated at the PBE-GGA level.

## Properties
The calculation puts the relative energy among the computed polymorphs at 0 meV per atom. For the uncorrected formation energy, the calculation gives -51.07 kJ/mol of atoms.

Lattice parameters (Å, degrees): 8.9779 8.9779 3.9501 90.00 90.00 120.00
Space group P6_3/m (No. 176)
Unique sites:
Tm  0.3333  0.6667  0.2500
Si  0.0458  0.6096  0.7500
Pd  0.0999  0.3680  0.7500


# 3
Below is a relaxed Tm2SiPd crystal, with properties calculated at the PBE-GGA level.

## Properties
For the uncorrected formation energy, the calculation gives -72.06 kJ/mol of atoms.

Lattice parameters (Å, degrees): 4.784 4.784 3.647 90.00 90.00 90.00
Space group P4/mmm (No. 123)
Unique sites:
Tm  0.000  0.500  0.000
Si  0.000  0.000  0.500
Pd  0.500  0.500  0.500


# 4
Below is a relaxed TmSiPd crystal, with properties calculated at the PBE-GGA level.

## Properties
For the uncorrected formation energy, the calculation gives -48.07 kJ/mol of atoms.

Lattice parameters (Å, degrees): 3.741 3.741 8.378 90.00 90.00 90.00
Space group I4mm (No. 107)
Unique sites:
Tm  0.000  0.000  0.000
Si  0.000  0.000  0.667
Pd  0.000  0.000  0.352


# 5
Below is a relaxed TmSiPd crystal, with properties calculated at the PBE-GGA level.

## Properties
For the uncorrected formation energy, the calculation gives -97.02 kJ/mol of atoms.

Lattice parameters (Å, degrees): 4.284 20.652 7.463 90.00 90.00 90.00
Space group Imm2 (No. 44)
Unique sites:
Tm  0.000  0.000  0.000
Tm  0.000  0.167  0.094
Tm  0.000  0.333  0.007
Tm  0.000  0.500  0.092
Si  0.000  0.096  0.708
Si  0.000  0.265  0.394
Si  0.000  0.438  0.706
Pd  0.000  0.072  0.377
Pd  0.000  0.231  0.722
Pd  0.000  0.395  0.382


# 6
Below is a relaxed TmSiPd crystal, with properties calculated at the PBE-GGA level.

## Properties
For the uncorrected formation energy, the calculation gives -91.89 kJ/mol of atoms.

Lattice parameters (Å, degrees): 10.263 4.211 6.889 90.00 132.00 90.00
Space group C2/m (No. 12)
Unique sites:
Tm  0.051  0.000  0.291
Si  0.152  0.500  0.703
Pd  0.181  0.500  0.118


# 7
Below is a relaxed Tm2Si6Pd21 crystal, with properties calculated at the PBE-GGA level.

## Properties
For the uncorrected formation energy, the calculation gives -69.28 kJ/mol of atoms.

Lattice parameters (Å, degrees): 12.222 12.222 12.222 90.00 90.00 90.00
Space group Fm-3m (No. 225)
Unique sites:
Tm  0.250  0.250  0.250
Si  0.000  0.000  0.234
Pd  0.000  0.000  0.500
Pd  0.000  0.172  0.328
Pd  0.117  0.117  0.117


# 8
Below is a relaxed TmSi4Pd8 crystal, with properties calculated at the PBE-GGA level.

## Properties
For the uncorrected formation energy, the calculation gives -63.17 kJ/mol of atoms.

Lattice parameters (Å, degrees): 8.684 8.684 5.279 90.00 90.00 90.00
Space group I4/mmm (No. 139)
Unique sites:
Tm  0.000  0.000  0.000
Si  0.250  0.250  0.250
Pd  0.000  0.224  0.500
Pd  0.000  0.327  0.000